The following is a DFT calculation (PBE) of a relaxed structure of Ti2SnN.

Cell and atoms, written as POSCAR:
```
Ti2SnN
1.0
-2.2133 -3.2821 1.6698
0.2161 -3.8848 -1.8222
4.1411 -3.8048 3.5377
Sn Ti N
1 2 1
direct
0.5000 0.5000 0.5000
0.9035 0.9035 0.2895
0.0965 0.0965 0.7105
0.0000 0.0000 0.0000
```

## Properties
Raw total energy (Ha/atom): -0.260
Calculated volume (Å³/f.u.): 99

The following is a DFT calculation (PBE) of a relaxed structure of Ti2SnN.

Cell and atoms, written as POSCAR:
```
Ti2SnN
1.0
3.8684 0.0000 0.0000
0.0000 6.3716 0.0000
0.0000 0.0000 9.8855
Sn Ti N
4 8 4
direct
0.2500 0.9021 0.8892
0.7500 0.0979 0.1108
0.7500 0.5979 0.3892
0.2500 0.4021 0.6108
0.2500 0.8339 0.2346
0.2500 0.8628 0.5487
0.7500 0.1372 0.4513
0.2500 0.3339 0.2654
0.7500 0.6372 0.0487
0.7500 0.1661 0.7654
0.2500 0.3628 0.9513
0.7500 0.6661 0.7346
0.2500 0.0644 0.3899
0.7500 0.4356 0.8899
0.7500 0.9356 0.6101
0.2500 0.5644 0.1101
```

## Properties
Raw total energy (Ha/atom): -0.290
Calculated volume (Å³/f.u.): 61

The following is a DFT calculation (PBE) of a relaxed structure of Ti7SnN2.

Cell and atoms, written as POSCAR:
```
Ti7SnN2
1.0
-2.3807 3.2827 0.0408
-5.1930 -3.7541 -0.9676
1.5927 1.0781 6.1885
N Sn Ti
2 1 7
direct
0.5000 0.2951 0.7049
0.5000 0.7049 0.2951
0.0000 0.0000 0.0000
0.5000 0.5000 0.5000
0.0000 0.7229 0.2771
0.5000 0.0704 0.3434
0.5000 0.3434 0.0704
0.0000 0.2771 0.7229
0.5000 0.9296 0.6566
0.5000 0.6566 0.9296
```

## Properties
Raw total energy (Ha/atom): -0.299
Calculated volume (Å³/f.u.): 153

The following is a DFT calculation (PBE) of a relaxed structure of Ti2SnN.

Cell and atoms, written as POSCAR:
```
Ti2SnN
1.0
2.3069 -3.8020 -0.4325
-1.6896 -3.8288 1.5652
-1.3994 -3.1513 -2.8417
Sn Ti N
1 2 1
direct
0.5000 0.5000 0.5000
0.7500 0.7500 0.7500
0.2500 0.2500 0.2500
0.0000 0.0000 0.0000
```

## Properties
Raw total energy (Ha/atom): -0.239
Calculated volume (Å³/f.u.): 63

The following is a DFT calculation (PBE) of a relaxed structure of Ti3SnN.

Cell and atoms, written as POSCAR:
```
Ti3SnN
1.0
4.0778 0.0000 0.0000
-2.0389 4.8541 -1.0873
0.0000 -2.0058 8.1575
N Ti Sn
2 6 2
direct
0.8804 0.7608 0.0676
0.1196 0.2392 0.9324
0.8840 0.7680 0.8193
0.3535 0.7070 0.0562
0.1160 0.2320 0.1807
0.1304 0.2607 0.6844
0.6465 0.2930 0.9438
0.8696 0.7393 0.3156
0.3863 0.7727 0.5764
0.6137 0.2273 0.4236
```

## Properties
Raw total energy (Ha/atom): -0.298
Calculated volume (Å³/f.u.): 76

The following is a DFT calculation (PBE) of a relaxed structure of Ti3SnN.

Cell and atoms, written as POSCAR:
```
Ti3SnN
1.0
4.9317 0.0000 0.0000
0.0000 5.1730 -2.9866
0.0000 0.0000 5.9732
Sn Ti N
2 6 2
direct
0.7500 0.3333 0.6667
0.2500 0.6667 0.3333
0.2500 0.1603 0.3206
0.2500 0.1603 0.8397
0.7500 0.8397 0.6794
0.7500 0.8397 0.1603
0.7500 0.3206 0.1603
0.2500 0.6794 0.8397
0.0000 0.0000 0.0000
0.5000 0.0000 0.0000
```

## Properties
Raw total energy (Ha/atom): -0.297
Calculated volume (Å³/f.u.): 76

The following is a DFT calculation (PBE) of a relaxed structure of Ti6Sn2N.

Cell and atoms, written as POSCAR:
```
Ti6Sn2N
1.0
5.8668 0.0000 -0.1555
0.0000 5.8689 0.0000
0.2240 0.0000 8.4602
Ti Sn N
12 4 2
direct
0.5000 0.5000 0.2528
0.5000 0.5000 0.7472
0.2444 0.2439 0.0000
0.0000 0.0000 0.7528
0.0000 0.0000 0.2472
0.7560 0.2443 0.0000
0.7444 0.2561 0.5000
0.2440 0.7557 0.0000
0.7440 0.7443 0.5000
0.7556 0.7561 0.0000
0.2556 0.7439 0.5000
0.2560 0.2557 0.5000
0.0000 0.5000 0.7500
0.5000 0.0000 0.7500
0.5000 0.0000 0.2500
0.0000 0.5000 0.2500
0.5000 0.5000 0.0000
0.0000 0.0000 0.5000
```

## Properties
Raw total energy (Ha/atom): -0.284
ΔE to the lowest computed polymorph (meV per atom): 48
Calculated volume (Å³/f.u.): 146

The following is a DFT calculation (PBE) of a relaxed structure of TiSn4N4.

Cell and atoms, written as POSCAR:
```
TiSn4N4
1.0
6.5230 0.0015 0.0013
4.6554 6.2517 0.0012
2.2951 3.1414 8.3082
N Sn Ti
8 8 2
direct
0.9767 0.7146 0.9068
0.5236 0.6956 0.8538
0.9755 0.5739 0.6461
0.0233 0.2853 0.0932
0.4783 0.9017 0.4061
0.0245 0.4261 0.3539
0.5217 0.0983 0.5939
0.4764 0.3044 0.1462
0.2184 0.7155 0.0418
0.7510 0.0090 0.3681
0.7816 0.2845 0.9582
0.2813 0.4754 0.4585
0.2490 0.9910 0.6319
0.7187 0.5246 0.5415
0.7494 0.6266 0.1325
0.2506 0.3734 0.8675
0.7493 0.8008 0.7502
0.2507 0.1992 0.2498
```

## Properties
Raw total energy (Ha/atom): -0.235
Calculated volume (Å³/f.u.): 169

The following is a DFT calculation (PBE) of a relaxed structure of Ti6Sn3N.

Cell and atoms, written as POSCAR:
```
Ti6Sn3N
1.0
-1.5297 -3.1693 6.1059
4.0963 -3.7631 1.1371
4.0401 1.3233 3.7631
Sn Ti N
3 6 1
direct
0.0000 0.0000 0.0000
0.2353 0.2020 0.2020
0.7647 0.7980 0.7980
0.3839 0.6412 0.1533
0.6161 0.8467 0.3588
0.2181 0.6755 0.6755
0.6161 0.3588 0.8467
0.3839 0.1533 0.6412
0.7819 0.3245 0.3245
0.5000 0.5000 0.5000
```

## Properties
Raw total energy (Ha/atom): -0.266
Calculated volume (Å³/f.u.): 184

The following is a DFT calculation (PBE) of a relaxed structure of TiSn2N.

Cell and atoms, written as POSCAR:
```
TiSn2N
1.0
-2.9125 1.3820 -5.9437
-5.9496 0.8208 3.1063
-3.7785 4.2611 -1.0038
Ti Sn N
2 4 2
direct
0.0000 0.0000 0.0000
0.7500 0.2500 0.5000
0.3750 0.4446 0.7500
0.1946 0.6250 0.2500
0.5554 0.1250 0.2500
0.8750 0.8054 0.7500
0.5000 0.5000 0.0000
0.2500 0.7500 0.5000
```

## Properties
Raw total energy (Ha/atom): -0.208
Calculated volume (Å³/f.u.): 74

The following is a DFT calculation (PBE) of a relaxed structure of Ti2SnN.

Cell and atoms, written as POSCAR:
```
Ti2SnN
1.0
-1.2569 0.2239 -2.8503
-0.6262 -2.5844 -1.6379
-6.9504 -1.0106 1.2744
N Sn Ti
1 1 2
direct
0.6675 0.6675 0.9975
0.4993 0.4993 0.5022
0.0537 0.0537 0.8390
0.2796 0.2796 0.1613
```

## Properties
Raw total energy (Ha/atom): -0.297
Calculated volume (Å³/f.u.): 58

The following is a DFT calculation (PBE) of a relaxed structure of Ti2SnN.

Cell and atoms, written as POSCAR:
```
Ti2SnN
1.0
3.0477 0.0002 0.0008
1.5235 2.6394 0.0000
-0.0018 0.0010 7.2683
Ti Sn N
2 1 1
direct
0.0708 0.1902 0.8720
0.0705 0.1903 0.2287
0.7370 0.8570 0.5503
0.4040 0.5236 0.0504
```

## Properties
Raw total energy (Ha/atom): -0.288
Calculated volume (Å³/f.u.): 58

The following is a DFT calculation (PBE) of a relaxed structure of Ti4SnN.

Cell and atoms, written as POSCAR:
```
Ti4SnN
1.0
2.9974 0.0000 0.0000
0.0000 4.5237 -0.9592
0.0000 -0.5343 7.1868
Ti N Sn
4 1 1
direct
0.5000 0.3034 0.0908
0.0000 0.0964 0.7285
0.5000 0.6966 0.9092
0.0000 0.9036 0.2715
0.0000 0.0000 0.0000
0.5000 0.5000 0.5000
```

## Properties
Raw total energy (Ha/atom): -0.295
ΔE to the lowest computed polymorph (meV per atom): 0
Calculated volume (Å³/f.u.): 96

The following is a DFT calculation (PBE) of a relaxed structure of Ti6Sn2N.

Cell and atoms, written as POSCAR:
```
Ti6Sn2N
1.0
-0.3135 -3.6401 -3.1101
4.3953 -2.8344 2.8437
-1.2433 -3.7348 4.4659
Sn Ti N
2 6 1
direct
0.7574 0.6668 0.6668
0.2426 0.3332 0.3332
0.2595 0.3233 0.8373
0.7405 0.6767 0.1627
0.2558 0.8367 0.8367
0.2595 0.8373 0.3233
0.7405 0.1627 0.6767
0.7442 0.1633 0.1633
0.0000 0.0000 0.0000
```

## Properties
Raw total energy (Ha/atom): -0.286
ΔE to the lowest computed polymorph (meV per atom): 0
Calculated volume (Å³/f.u.): 147

The following is a DFT calculation (PBE) of a relaxed structure of TiSnN.

Cell and atoms, written as POSCAR:
```
TiSnN
1.0
6.8136 1.2142 0.0000
0.0401 6.9208 0.0000
-3.4268 -4.0675 4.7740
Sn N Ti
4 4 4
direct
0.8383 0.8383 0.6766
0.0883 0.5883 0.1766
0.1617 0.1617 0.3234
0.4117 0.9117 0.8234
0.6250 0.3750 0.2500
0.1250 0.3750 0.7500
0.6250 0.8750 0.2500
0.6250 0.3750 0.7500
0.6969 0.3031 0.0000
0.5531 0.4469 0.5000
0.3031 0.6969 0.0000
0.9469 0.0531 0.5000
```

## Properties
Raw total energy (Ha/atom): -0.250
Calculated volume (Å³/f.u.): 56

The following is a DFT calculation (PBE) of a relaxed structure of TiV2SnN.

Cell and atoms, written as POSCAR:
```
TiV2SnN
1.0
3.9846 0.0000 0.0000
0.0000 3.9846 0.0000
0.0000 0.0000 4.3235
N V Ti Sn
1 2 1 1
direct
0.0000 0.0000 0.0000
0.0000 0.5000 0.0000
0.5000 0.0000 0.0000
0.0000 0.0000 0.5000
0.5000 0.5000 0.5000
```

## Properties
Raw total energy (Ha/atom): -0.305
Calculated volume (Å³/f.u.): 69

The following is a DFT calculation (PBE) of a relaxed structure of YTi2SnN.

Cell and atoms, written as POSCAR:
```
YTi2SnN
1.0
-3.7363 1.9263 0.5567
-1.3310 -1.5021 -3.7353
-1.7065 -3.9441 2.1941
Sn Ti Y N
1 2 1 1
direct
0.5000 0.5000 0.5000
0.0000 0.5000 0.0000
0.5000 0.0000 0.0000
0.0000 0.0000 0.5000
0.0000 0.0000 0.0000
```

## Properties
Raw total energy (Ha/atom): -0.286
Calculated volume (Å³/f.u.): 87

The following is a DFT calculation (PBE) of a relaxed structure of Y2TiSnN.

Cell and atoms, written as POSCAR:
```
Y2TiSnN
1.0
4.9185 0.0000 0.0000
0.0000 4.9185 0.0000
0.0000 0.0000 4.1333
N Sn Ti Y
1 1 1 2
direct
0.0000 0.0000 0.0000
0.5000 0.5000 0.5000
0.0000 0.0000 0.5000
0.5000 0.0000 0.0000
0.0000 0.5000 0.0000
```

## Properties
Raw total energy (Ha/atom): -0.280
Calculated volume (Å³/f.u.): 100

The following is a DFT calculation (PBE) of a relaxed structure of Tl2SnN.

Cell and atoms, written as POSCAR:
```
Tl2SnN
1.0
-4.4376 -3.5365 -2.8956
4.5000 -2.6729 -3.6317
0.7060 -6.9579 0.4083
Sn Tl N
2 4 2
direct
0.0000 0.0000 0.0000
0.7500 0.2500 0.5000
0.3750 0.4619 0.7500
0.2119 0.6250 0.2500
0.5381 0.1250 0.2500
0.8750 0.7881 0.7500
0.5000 0.5000 0.0000
0.2500 0.7500 0.5000
```

## Properties
Raw total energy (Ha/atom): -0.131
ΔE to the lowest computed polymorph (meV per atom): 0
Calculated volume (Å³/f.u.): 109

The following is a DFT calculation (PBE) of a relaxed structure of TlSnN2.

Cell and atoms, written as POSCAR:
```
TlSnN2
1.0
0.0000 3.1009 3.1009
3.1009 0.0000 3.1009
3.1009 3.1009 0.0000
Tl N Sn
1 2 1
direct
0.5000 0.5000 0.5000
0.7500 0.7500 0.7500
0.2500 0.2500 0.2500
0.0000 0.0000 0.0000
```

## Properties
Raw total energy (Ha/atom): -0.156
ΔE to the lowest computed polymorph (meV per atom): 1329
Calculated volume (Å³/f.u.): 60